A relaxed structure of Ac5Pm2Mg. Source: the Alexandria database, functional PBE-GGA.

E_tot: -62.8 eV for the cell shown
Magnetization: 0.00 μB per formula unit
E_form: 0.2 eV/f.u.

abc: 7.7569 12.2762 7.7331
angles: 90.00 120.06 90.00
With the nearest neighbours (Å) after each atom.
Space group Cm (No. 8)
Unique sites:
Ac 0.0000 0.0000 0.0000 x2  6 Ac 3.69-4.05, 4 Pm 3.75-3.83, 2 Mg 3.80-3.94
Ac 0.0086 0.0000 0.5273 x2  8 Ac 3.69-4.05, 2 Pm 3.77, 2 Mg 3.88
Ac 0.1676 0.2498 0.3452 x4  2 Mg 3.80-3.81, 4 Pm 3.82-3.92, 6 Ac 3.83-3.88
Ac 0.4880 0.0000 0.0013 x2  6 Ac 3.69-4.05, 4 Pm 3.76-3.83, 2 Mg 3.82-3.92
Pm 0.1628 0.2565 0.8375 x4  1 Mg 3.69, 9 Ac 3.75-3.92, 2 Pm 3.88
Mg 0.0030 0.5000 0.5156 x2  2 Pm 3.69, 10 Ac 3.80-3.94